Entry 1:
# ZrTi2Au2 (PBE, relaxed)
# * polymorph energy (0 for the lowest one): 6.29 eV per formula unit
# * calculated formation energy: 0.981 eV/atom
# * total magnetization: 2.57 μB/cell
# * Fermi-level density of states: 4.53 states/eV/f.u.
# * E_tot: -5.1973 eV per atom
data_ZrTi2Au2
_chemical_formula_sum 'Zr1 Ti2 Au2'
_space_group_name_H-M_alt 'P 1'
_space_group_IT_number 1
_cell_length_a 5.156
_cell_length_b 5.156
_cell_length_c 4.691
_cell_angle_alpha 90.00
_cell_angle_beta 90.00
_cell_angle_gamma 90.00
loop_
_space_group_symop_operation_xyz
'x,y,z'
loop_
_atom_site_label
_atom_site_type_symbol
_atom_site_fract_x
_atom_site_fract_y
_atom_site_fract_z
Ti1 Ti 0.500 0.500 0.500
Ti2 Ti 0.000 0.000 0.500
Zr1 Zr 0.000 0.000 0.000
Au1 Au 0.500 0.000 0.000
Au2 Au 0.000 0.500 0.000

Entry 2:
# K2LaBr (PBE, relaxed)
# * polymorph energy (0 for the lowest one): 1.99 eV per formula unit
# * total magnetization: 2.77 μB/cell
# * Fermi-level density of states: 4.55 states/eV/f.u.
# * raw formation energy: -0.06 eV/atom
# * E_tot: -2.2589 eV per atom
data_K2LaBr
_chemical_formula_sum 'K2 La1 Br1'
_space_group_name_H-M_alt 'P 1'
_space_group_IT_number 1
_cell_length_a 6.657
_cell_length_b 6.657
_cell_length_c 4.142
_cell_angle_alpha 90.00
_cell_angle_beta 90.00
_cell_angle_gamma 90.00
loop_
_space_group_symop_operation_xyz
'x,y,z'
loop_
_atom_site_label
_atom_site_type_symbol
_atom_site_fract_x
_atom_site_fract_y
_atom_site_fract_z
K1 K 0.500 0.500 0.000
K2 K 0.000 0.000 0.000
Br1 Br 0.000 0.500 0.500
La1 La 0.500 0.000 0.500

Entry 3:
# Tb3Ce2HoAs6 (PBE, relaxed)
# * calculated formation energy: -1.502 eV/atom
# * total magnetization: 1.22 μB/cell
# * Fermi-level density of states: 11.24 states/eV/f.u.
# * E_tot: -6.3550 eV per atom
data_Tb3Ce2HoAs6
_chemical_formula_sum 'Tb3 Ce2 Ho1 As6'
_space_group_name_H-M_alt 'P 1'
_space_group_IT_number 1
_cell_length_a 4.161
_cell_length_b 8.316
_cell_length_c 9.289
_cell_angle_alpha 102.90
_cell_angle_beta 102.94
_cell_angle_gamma 90.00
loop_
_space_group_symop_operation_xyz
'x,y,z'
loop_
_atom_site_label
_atom_site_type_symbol
_atom_site_fract_x
_atom_site_fract_y
_atom_site_fract_z
Tb1 Tb 0.167 0.834 0.333
Tb2 Tb 0.833 0.166 0.667
Tb3 Tb 0.500 0.500 0.000
As1 As 0.666 0.081 0.332
As2 As 0.999 0.248 0.999
As3 As 0.001 0.752 0.001
As4 As 0.334 0.415 0.668
As5 As 0.666 0.585 0.332
As6 As 0.334 0.919 0.668
Ce1 Ce 0.166 0.331 0.331
Ce2 Ce 0.834 0.669 0.669
Ho1 Ho 0.500 0.000 0.000

Entry 4:
# AcTl2Sb2 (PBE, relaxed)
# * total magnetization: 0.00 μB/cell
# * Fermi-level density of states: 1.14 states/eV/f.u.
# * raw formation energy: -0.50 eV/atom
# * E_tot: -3.9180 eV per atom
data_AcTl2Sb2
_chemical_formula_sum 'Ac2 Tl4 Sb4'
_space_group_name_H-M_alt 'P 1'
_space_group_IT_number 1
_cell_length_a 4.602
_cell_length_b 4.583
_cell_length_c 16.056
_cell_angle_alpha 90.00
_cell_angle_beta 98.24
_cell_angle_gamma 90.00
loop_
_space_group_symop_operation_xyz
'x,y,z'
loop_
_atom_site_label
_atom_site_type_symbol
_atom_site_fract_x
_atom_site_fract_y
_atom_site_fract_z
Sb1 Sb 0.130 0.250 0.260
Sb2 Sb 0.750 0.250 0.500
Sb3 Sb 0.250 0.750 0.500
Sb4 Sb 0.870 0.750 0.740
Ac1 Ac 0.333 0.250 0.665
Ac2 Ac 0.667 0.750 0.335
Tl1 Tl 0.554 0.250 0.108
Tl2 Tl 0.054 0.750 0.108
Tl3 Tl 0.946 0.250 0.892
Tl4 Tl 0.446 0.750 0.892

Entry 5:
# LiThInAu (PBE, relaxed)
# * calculated formation energy: -0.407 eV/atom
# * total magnetization: 0.00 μB/cell
# * Fermi-level density of states: 2.81 states/eV/f.u.
# * E_tot: -4.2442 eV per atom
data_LiThInAu
_chemical_formula_sum 'Li1 Th1 In1 Au1'
_space_group_name_H-M_alt 'P 1'
_space_group_IT_number 1
_cell_length_a 5.012
_cell_length_b 5.012
_cell_length_c 5.012
_cell_angle_alpha 60.00
_cell_angle_beta 60.00
_cell_angle_gamma 60.00
loop_
_space_group_symop_operation_xyz
'x,y,z'
loop_
_atom_site_label
_atom_site_type_symbol
_atom_site_fract_x
_atom_site_fract_y
_atom_site_fract_z
Th1 Th 0.750 0.750 0.750
Au1 Au 0.000 0.000 0.000
In1 In 0.250 0.250 0.250
Li1 Li 0.500 0.500 0.500

Entry 6:
# Pm4Nd2Ho3 (PBE, relaxed)
# * polymorph energy (0 for the lowest one): 0.00 eV per formula unit
# * calculated formation energy: 0.053 eV/atom
# * total magnetization: 0.00 μB/cell
# * Fermi-level density of states: 16.84 states/eV/f.u.
# * E_tot: -4.6438 eV per atom
data_Pm4Nd2Ho3
_chemical_formula_sum 'Pm4 Nd2 Ho3'
_space_group_name_H-M_alt 'P 1'
_space_group_IT_number 1
_cell_length_a 3.629
_cell_length_b 3.629
_cell_length_c 26.859
_cell_angle_alpha 90.00
_cell_angle_beta 90.00
_cell_angle_gamma 120.00
loop_
_space_group_symop_operation_xyz
'x,y,z'
loop_
_atom_site_label
_atom_site_type_symbol
_atom_site_fract_x
_atom_site_fract_y
_atom_site_fract_z
Pm1 Pm 0.000 0.000 0.760
Pm2 Pm 0.000 0.000 0.545
Pm3 Pm 0.667 0.333 0.433
Pm4 Pm 0.667 0.333 0.220
Ho1 Ho 0.000 0.000 0.982
Ho2 Ho 0.667 0.333 0.652
Ho3 Ho 0.000 0.000 0.325
Nd1 Nd 0.667 0.333 0.873
Nd2 Nd 0.667 0.333 0.087

Entry 7:
# KPb2Cl (PBE, relaxed)
# * polymorph energy (0 for the lowest one): 0.41 eV per formula unit
# * total magnetization: 0.00 μB/cell
# * Fermi-level density of states: 1.76 states/eV/f.u.
# * raw formation energy: -0.61 eV/atom
# * E_tot: -3.1963 eV per atom
data_KPb2Cl
_chemical_formula_sum 'K1 Pb2 Cl1'
_space_group_name_H-M_alt 'P 1'
_space_group_IT_number 1
_cell_length_a 8.119
_cell_length_b 4.405
_cell_length_c 4.405
_cell_angle_alpha 90.00
_cell_angle_beta 90.00
_cell_angle_gamma 90.00
loop_
_space_group_symop_operation_xyz
'x,y,z'
loop_
_atom_site_label
_atom_site_type_symbol
_atom_site_fract_x
_atom_site_fract_y
_atom_site_fract_z
Pb1 Pb 0.000 0.500 0.500
Pb2 Pb 0.000 0.000 0.000
K1 K 0.500 0.000 0.500
Cl1 Cl 0.500 0.500 0.000

Entry 8:
# Pm3Tm3Tl (PBE, relaxed)
# * calculated formation energy: -0.074 eV/atom
# * total magnetization: 0.02 μB/cell
# * Fermi-level density of states: 10.08 states/eV/f.u.
# * E_tot: -4.3640 eV per atom
data_Pm3Tm3Tl
_chemical_formula_sum 'Pm6 Tm6 Tl2'
_space_group_name_H-M_alt 'P 1'
_space_group_IT_number 1
_cell_length_a 5.553
_cell_length_b 9.481
_cell_length_c 9.482
_cell_angle_alpha 120.03
_cell_angle_beta 90.00
_cell_angle_gamma 90.00
loop_
_space_group_symop_operation_xyz
'x,y,z'
loop_
_atom_site_label
_atom_site_type_symbol
_atom_site_fract_x
_atom_site_fract_y
_atom_site_fract_z
Tl1 Tl 0.750 0.333 0.667
Tl2 Tl 0.250 0.667 0.333
Tm1 Tm 0.750 0.766 0.825
Tm2 Tm 0.750 0.059 0.234
Tm3 Tm 0.250 0.941 0.766
Tm4 Tm 0.250 0.234 0.175
Tm5 Tm 0.250 0.825 0.058
Tm6 Tm 0.750 0.175 0.942
Pm1 Pm 0.750 0.894 0.526
Pm2 Pm 0.250 0.526 0.633
Pm3 Pm 0.250 0.106 0.474
Pm4 Pm 0.750 0.474 0.367
Pm5 Pm 0.750 0.633 0.106
Pm6 Pm 0.250 0.367 0.894

Entry 9:
# K3NbN (PBE, relaxed)
# * polymorph energy (0 for the lowest one): 0.00 eV per formula unit
# * total magnetization: 5.34 μB/cell
# * Fermi-level density of states: 11.89 states/eV/f.u.
# * raw formation energy: 1.43 eV/atom
# * E_tot: -2.9102 eV per atom
data_K3NbN
_chemical_formula_sum 'K3 Nb1 N1'
_space_group_name_H-M_alt 'P 1'
_space_group_IT_number 1
_cell_length_a 5.600
_cell_length_b 5.600
_cell_length_c 5.600
_cell_angle_alpha 90.00
_cell_angle_beta 90.00
_cell_angle_gamma 90.00
loop_
_space_group_symop_operation_xyz
'x,y,z'
loop_
_atom_site_label
_atom_site_type_symbol
_atom_site_fract_x
_atom_site_fract_y
_atom_site_fract_z
K1 K 0.000 0.000 0.500
K2 K 0.000 0.500 0.000
K3 K 0.500 0.000 0.000
Nb1 Nb 0.500 0.500 0.500
N1 N 0.000 0.000 0.000

Entry 10:
# Tb2Ga3SiNi4 (PBE, relaxed)
# * total magnetization: 0.00 μB/cell
# * Fermi-level density of states: 7.57 states/eV/f.u.
# * raw formation energy: -0.62 eV/atom
# * E_tot: -5.3123 eV per atom
data_Tb2Ga3SiNi4
_chemical_formula_sum 'Tb2 Ga3 Si1 Ni4'
_space_group_name_H-M_alt 'P 1'
_space_group_IT_number 1
_cell_length_a 4.018
_cell_length_b 4.018
_cell_length_c 9.979
_cell_angle_alpha 90.00
_cell_angle_beta 90.00
_cell_angle_gamma 90.00
loop_
_space_group_symop_operation_xyz
'x,y,z'
loop_
_atom_site_label
_atom_site_type_symbol
_atom_site_fract_x
_atom_site_fract_y
_atom_site_fract_z
Ga1 Ga 0.500 0.000 0.867
Ga2 Ga 0.000 0.500 0.133
Ga3 Ga 0.000 0.000 0.500
Tb1 Tb 0.500 0.000 0.258
Tb2 Tb 0.000 0.500 0.742
Si1 Si 0.500 0.500 0.500
Ni1 Ni 0.500 0.500 0.000
Ni2 Ni 0.000 0.500 0.373
Ni3 Ni 0.500 0.000 0.627
Ni4 Ni 0.000 0.000 0.000

Entry 11:
# YZrZn4 (PBE, relaxed)
# * polymorph energy (0 for the lowest one): 0.28 eV per formula unit
# * calculated formation energy: -0.275 eV/atom
# * total magnetization: 1.43 μB/cell
# * Fermi-level density of states: 5.47 states/eV/f.u.
# * E_tot: -3.6267 eV per atom
data_YZrZn4
_chemical_formula_sum 'Y1 Zr1 Zn4'
_space_group_name_H-M_alt 'P 1'
_space_group_IT_number 1
_cell_length_a 5.359
_cell_length_b 5.359
_cell_length_c 5.359
_cell_angle_alpha 60.00
_cell_angle_beta 60.00
_cell_angle_gamma 60.00
loop_
_space_group_symop_operation_xyz
'x,y,z'
loop_
_atom_site_label
_atom_site_type_symbol
_atom_site_fract_x
_atom_site_fract_y
_atom_site_fract_z
Zr1 Zr 0.250 0.250 0.250
Zn1 Zn 0.624 0.624 0.624
Zn2 Zn 0.127 0.624 0.624
Zn3 Zn 0.624 0.624 0.127
Zn4 Zn 0.624 0.127 0.624
Y1 Y 0.000 0.000 0.000

Entry 12:
# Zr4Si6Os7 (PBE, relaxed)
# * total magnetization: 0.00 μB/cell
# * Fermi-level density of states: 4.94 states/eV/f.u.
# * raw formation energy: -0.66 eV/atom
# * E_tot: -9.2138 eV per atom
data_Zr4Si6Os7
_chemical_formula_sum 'Zr4 Si6 Os7'
_space_group_name_H-M_alt 'P 1'
_space_group_IT_number 1
_cell_length_a 7.006
_cell_length_b 7.006
_cell_length_c 7.006
_cell_angle_alpha 109.47
_cell_angle_beta 109.47
_cell_angle_gamma 109.47
loop_
_space_group_symop_operation_xyz
'x,y,z'
loop_
_atom_site_label
_atom_site_type_symbol
_atom_site_fract_x
_atom_site_fract_y
_atom_site_fract_z
Os1 Os 0.000 0.000 0.000
Os2 Os 0.750 0.500 0.250
Os3 Os 0.500 0.750 0.250
Os4 Os 0.500 0.250 0.750
Os5 Os 0.250 0.750 0.500
Os6 Os 0.750 0.250 0.500
Os7 Os 0.250 0.500 0.750
Si1 Si 0.691 0.691 0.000
Si2 Si 0.000 0.309 0.309
Si3 Si 0.309 0.000 0.309
Si4 Si 0.309 0.309 0.000
Si5 Si 0.691 0.000 0.691
Si6 Si 0.000 0.691 0.691
Zr1 Zr 0.500 0.000 0.000
Zr2 Zr 0.000 0.500 0.000
Zr3 Zr 0.000 0.000 0.500
Zr4 Zr 0.500 0.500 0.500